12
Lattice="5.322 0.000 0.000 0.000 5.322 0.000 -2.661 -2.661 5.651" Properties=species:S:1:pos:R:3 comment="GGA+U PrHoMo2O8, optimized geometry" e_tot_ev_per_cell=-92.299 total_magnetization_mub_per_cell=2.000 spacegroup="I-4 (82)" pbc="T T T"
O -1.395 1.002 4.656
O 1.240 1.772 3.817
O 4.433 1.421 1.834
O -1.240 -1.772 3.817
O 1.659 1.266 0.995
O 3.663 4.056 0.995
O 0.888 3.901 1.834
O 1.395 -1.002 4.656
Pr 2.661 0.000 2.826
Mo 2.661 2.661 0.000
Mo 0.000 2.661 2.826
Ho 0.000 0.000 0.000